First-principles (PBE) data for crystalline Dy3Er2ThBi6 at its relaxed geometry, as listed in the Alexandria database.

Values from the calculation:
Calculated total energy (Ha/atom): -0.194
Crystal system: monoclinic
DFT formation energy (eV per atom): -0.7993

Structure (CIF):
```
data_Dy3Er2ThBi6
_cell_length_a 7.777
_cell_length_b 13.460
_cell_length_c 7.782
_cell_angle_alpha 90.00
_cell_angle_beta 109.52
_cell_angle_gamma 90.00
_symmetry_space_group_name_H-M 'C 1 2/m 1'
_symmetry_Int_Tables_number 12
loop_
_symmetry_equiv_pos_as_xyz
'x,y,z'
'-x,-y,-z'
'-x,y,-z'
'x,-y,z'
'x+1/2,y+1/2,z'
'-x+1/2,-y+1/2,-z'
'-x+1/2,y+1/2,-z'
'x+1/2,-y+1/2,z'
loop_
_atom_site_label
_atom_site_fract_x
_atom_site_fract_y
_atom_site_fract_z
Dy1 0.000 0.000 0.000
Dy2 0.000 0.336 0.000
Er1 0.000 0.168 0.500
Th1 0.000 0.500 0.500
Bi1 0.243 0.000 0.749
Bi2 0.246 0.170 0.247
```

=====

First-principles (PBE) data for crystalline DyErTh2Bi4 at its relaxed geometry, as listed in the Alexandria database.

Values from the calculation:
Calculated total energy (Ha/atom): -0.207
Crystal system: monoclinic
DFT formation energy (eV per atom): -0.6965

Structure (CIF):
```
data_DyErTh2Bi4
_cell_length_a 7.815
_cell_length_b 4.543
_cell_length_c 7.862
_cell_angle_alpha 90.00
_cell_angle_beta 109.67
_cell_angle_gamma 90.00
_symmetry_space_group_name_H-M 'P 1 2/m 1'
_symmetry_Int_Tables_number 10
loop_
_symmetry_equiv_pos_as_xyz
'x,y,z'
'-x,-y,-z'
'-x,y,-z'
'x,-y,z'
loop_
_atom_site_label
_atom_site_fract_x
_atom_site_fract_y
_atom_site_fract_z
Dy1 0.000 0.000 0.000
Er1 0.000 0.500 0.500
Th1 0.500 0.000 0.500
Th2 0.500 0.500 0.000
Bi1 0.239 0.000 0.745
Bi2 0.239 0.500 0.247
```

=====

First-principles (PBE) data for crystalline DyErTlBi at its relaxed geometry, as listed in the Alexandria database.

Values from the calculation:
Calculated total energy (Ha/atom): -0.156
Crystal system: cubic
DFT formation energy (eV per atom): -0.3858

Structure (CIF):
```
data_DyErTlBi
_cell_length_a 7.674
_cell_length_b 7.674
_cell_length_c 7.674
_cell_angle_alpha 90.00
_cell_angle_beta 90.00
_cell_angle_gamma 90.00
_symmetry_space_group_name_H-M 'F -4 3 m'
_symmetry_Int_Tables_number 216
_symmetry_space_group_name_Hall 'F -4 2 3'
loop_
_atom_site_label
_atom_site_fract_x
_atom_site_fract_y
_atom_site_fract_z
Dy1 0.000 0.000 0.000
Er1 0.000 0.000 0.500
Tl1 0.250 0.250 0.750
Bi1 0.250 0.250 0.250
```

=====

First-principles (PBE) data for crystalline DyErTm2Bi4 at its relaxed geometry, as listed in the Alexandria database.

Values from the calculation:
Calculated total energy (Ha/atom): -0.184
Crystal system: monoclinic
DFT formation energy (eV per atom): -0.8083

Structure (CIF):
```
data_DyErTm2Bi4
_cell_length_a 7.697
_cell_length_b 4.448
_cell_length_c 7.697
_cell_angle_alpha 90.00
_cell_angle_beta 109.46
_cell_angle_gamma 90.00
_symmetry_space_group_name_H-M 'P 1 2/m 1'
_symmetry_Int_Tables_number 10
loop_
_symmetry_equiv_pos_as_xyz
'x,y,z'
'-x,-y,-z'
'-x,y,-z'
'x,-y,z'
loop_
_atom_site_label
_atom_site_fract_x
_atom_site_fract_y
_atom_site_fract_z
Dy1 0.000 0.000 0.000
Er1 0.500 0.500 0.000
Tm1 0.000 0.500 0.500
Tm2 0.500 0.000 0.500
Bi1 0.250 0.000 0.748
Bi2 0.252 0.500 0.253
```

=====

First-principles (PBE) data for crystalline DyEr2TmBi5 at its relaxed geometry, as listed in the Alexandria database.

Values from the calculation:
Calculated total energy (Ha/atom): -0.152
Crystal system: tetragonal
DFT formation energy (eV per atom): 0.0534

Structure (CIF):
```
data_DyEr2TmBi5
_cell_length_a 5.356
_cell_length_b 5.356
_cell_length_c 11.853
_cell_angle_alpha 90.00
_cell_angle_beta 90.00
_cell_angle_gamma 90.00
_symmetry_space_group_name_H-M 'P 4/m m m'
_symmetry_Int_Tables_number 123
_symmetry_space_group_name_Hall '-P 4 2'
loop_
_atom_site_label
_atom_site_fract_x
_atom_site_fract_y
_atom_site_fract_z
Dy1 0.000 0.000 0.000
Er1 0.500 0.500 0.265
Tm1 0.000 0.000 0.500
Bi1 0.000 0.000 0.247
Bi2 0.000 0.500 0.500
Bi3 0.500 0.500 0.000
```

=====

First-principles (PBE) data for crystalline Dy2ErTmBi5 at its relaxed geometry, as listed in the Alexandria database.

Values from the calculation:
Calculated total energy (Ha/atom): -0.153
Crystal system: tetragonal
DFT formation energy (eV per atom): 0.0187

Structure (CIF):
```
data_Dy2ErTmBi5
_cell_length_a 5.361
_cell_length_b 5.361
_cell_length_c 11.805
_cell_angle_alpha 90.00
_cell_angle_beta 90.00
_cell_angle_gamma 90.00
_symmetry_space_group_name_H-M 'P 4/m m m'
_symmetry_Int_Tables_number 123
_symmetry_space_group_name_Hall '-P 4 2'
loop_
_atom_site_label
_atom_site_fract_x
_atom_site_fract_y
_atom_site_fract_z
Dy1 0.000 0.000 0.231
Er1 0.500 0.500 0.500
Tm1 0.500 0.500 0.000
Bi1 0.000 0.000 0.500
Bi2 0.000 0.500 0.000
Bi3 0.500 0.500 0.254
```

=====

First-principles (PBE) data for crystalline DyEr3Tm2Bi6 at its relaxed geometry, as listed in the Alexandria database.

Values from the calculation:
Calculated total energy (Ha/atom): -0.184
Crystal system: monoclinic
DFT formation energy (eV per atom): -0.8101

Structure (CIF):
```
data_DyEr3Tm2Bi6
_cell_length_a 19.363
_cell_length_b 4.442
_cell_length_c 8.888
_cell_angle_alpha 90.00
_cell_angle_beta 103.20
_cell_angle_gamma 90.00
_symmetry_space_group_name_H-M 'C 1 2/m 1'
_symmetry_Int_Tables_number 12
loop_
_symmetry_equiv_pos_as_xyz
'x,y,z'
'-x,-y,-z'
'-x,y,-z'
'x,-y,z'
'x+1/2,y+1/2,z'
'-x+1/2,-y+1/2,-z'
'-x+1/2,y+1/2,-z'
'x+1/2,-y+1/2,z'
loop_
_atom_site_label
_atom_site_fract_x
_atom_site_fract_y
_atom_site_fract_z
Dy1 0.000 0.000 0.000
Er1 0.000 0.000 0.500
Er2 0.166 0.500 0.833
Tm1 0.167 0.500 0.333
Bi1 0.001 0.500 0.252
Bi2 0.167 0.000 0.084
Bi3 0.167 0.000 0.582
```

=====

First-principles (PBE) data for crystalline Dy2ErTmBi4 at its relaxed geometry, as listed in the Alexandria database.

Values from the calculation:
Calculated total energy (Ha/atom): -0.186
Crystal system: monoclinic
DFT formation energy (eV per atom): -0.8276

Structure (CIF):
```
data_Dy2ErTmBi4
_cell_length_a 7.714
_cell_length_b 4.458
_cell_length_c 7.716
_cell_angle_alpha 90.00
_cell_angle_beta 109.47
_cell_angle_gamma 90.00
_symmetry_space_group_name_H-M 'P 1 2/m 1'
_symmetry_Int_Tables_number 10
loop_
_symmetry_equiv_pos_as_xyz
'x,y,z'
'-x,-y,-z'
'-x,y,-z'
'x,-y,z'
loop_
_atom_site_label
_atom_site_fract_x
_atom_site_fract_y
_atom_site_fract_z
Dy1 0.000 0.000 0.000
Dy2 0.000 0.500 0.500
Er1 0.500 0.000 0.500
Tm1 0.500 0.500 0.000
Bi1 0.252 0.500 0.250
Bi2 0.253 0.000 0.751
```